{"formula": "K3SrCd2Cl9", "functional": "GGA-PBE", "state": "optimized geometry", "lattice_angstrom": [[7.504, 0.000, 0.000], [-3.752, 6.499, 0.000], [0.000, 0.000, 9.745]], "species": ["K", "K", "K", "Sr", "Cd", "Cd", "Cl", "Cl", "Cl", "Cl", "Cl", "Cl", "Cl", "Cl", "Cl"], "frac_coords": [[0.000, 0.000, 0.000], [0.333, 0.667, 0.743], [0.667, 0.333, 0.257], [0.000, 0.000, 0.500], [0.333, 0.667, 0.166], [0.667, 0.333, 0.834], [0.000, 0.500, 0.000], [0.166, 0.331, 0.309], [0.166, 0.834, 0.309], [0.331, 0.166, 0.691], [0.500, 0.000, 0.000], [0.500, 0.500, 0.000], [0.669, 0.834, 0.309], [0.834, 0.166, 0.691], [0.834, 0.669, 0.691]], "spacegroup": "No. 164", "dos_at_fermi_per_ev_fu": 0.00, "formation_energy_uncorrected_ev_per_fu": -25.127, "m_tot_mub_per_fu": 0.0, "volume_a3_per_cell": 475.3}